This record from the Alexandria database describes a relaxed structure of Be3Pb2. The functional is PBE.

Lattice parameters (Å, degrees): 6.6042 6.6042 6.6042 35.95 35.95 35.95
Last column: nearest neighbours and their distance in Å.
Positions (direct):
Be 0.1439 0.1439 0.1439  4 Be 2.50-2.66, 3 Pb 2.69
Pb 0.4067 0.4067 0.4067  6 Be 2.69-2.72
Be 0.8561 0.8561 0.8561  4 Be 2.50-2.66, 3 Pb 2.69
Be 0.0000 0.0000 0.0000  2 Be 2.66, 6 Pb 2.72
Pb 0.5933 0.5933 0.5933  6 Be 2.69-2.72

Total moment: 0.00 μB/f.u.
Space-group type: R-3m

This record from the Alexandria database describes a relaxed structure of Be3Pb. The functional is PBE.

Lattice parameters (Å, degrees): 4.7744 4.7744 4.7744 90.00 90.00 90.00
Last column: nearest neighbours and their distance in Å.
Positions (direct):
Pb 0.0000 0.0000 0.0000  6 Be 2.39
Be 0.0000 0.5000 0.0000  2 Pb 2.39
Be 0.5000 0.0000 0.0000  2 Pb 2.39
Be 0.0000 0.0000 0.5000  2 Pb 2.39

Total moment: 0.00 μB/f.u.
Space-group type: Pm-3m
Relative energy among the computed polymorphs: 1476 meV/atom

This record from the Alexandria database describes a relaxed structure of Be3Pb. The functional is PBE.

Lattice parameters (Å, degrees): 5.6259 5.6259 5.6259 38.42 38.42 38.42
Last column: nearest neighbours and their distance in Å.
Positions (direct):
Be 0.8227 0.8227 0.8227  6 Be 2.14-2.16
Be 0.1773 0.1773 0.1773  6 Be 2.14-2.16
Pb 0.0000 0.0000 0.0000  2 Be 2.77
Be 0.5000 0.5000 0.5000  6 Be 2.14

Total moment: 0.00 μB/f.u.
Space-group type: R-3m
Relative energy among the computed polymorphs: 0 meV/atom

This record from the Alexandria database describes a relaxed structure of Be4Pb5. The functional is PBE.

Lattice parameters (Å, degrees): 8.2837 8.2837 6.7394 90.00 90.00 120.00
Last column: nearest neighbours and their distance in Å.
Positions (direct):
Be 0.0000 0.4226 0.2500  5 Pb 2.68-2.99
Pb 0.0000 0.7457 0.2500  3 Be 2.68-2.70
Pb 0.6667 0.3333 0.0000  6 Be 2.99
Be 0.0000 0.0000 0.5000  6 Pb 2.70
Pb 0.7457 0.0000 0.2500  3 Be 2.68-2.70
Be 0.0000 0.5774 0.7500  5 Pb 2.68-2.99
Be 0.4226 0.0000 0.2500  5 Pb 2.68-2.99
Pb 0.0000 0.2543 0.7500  3 Be 2.68-2.70
Be 0.0000 0.0000 0.0000  6 Pb 2.70
Pb 0.7457 0.7457 0.7500  3 Be 2.68-2.70
Pb 0.6667 0.3333 0.5000  6 Be 2.99
Pb 0.2543 0.0000 0.7500  3 Be 2.68-2.70
Be 0.5774 0.0000 0.7500  5 Pb 2.68-2.99
Be 0.4226 0.4226 0.7500  5 Pb 2.68-2.99
Pb 0.3333 0.6667 0.5000  6 Be 2.99
Pb 0.2543 0.2543 0.2500  3 Be 2.68-2.70
Be 0.5774 0.5774 0.2500  5 Pb 2.68-2.99
Pb 0.3333 0.6667 0.0000  6 Be 2.99

Total moment: 0.00 μB/f.u.
Space-group type: P6_3/mcm
Relative energy among the computed polymorphs: 45 meV/atom

This record from the Alexandria database describes a relaxed structure of Be2Pb3. The functional is PBE.

Lattice parameters (Å, degrees): 8.8254 8.8254 8.8254 25.78 25.78 25.78
Last column: nearest neighbours and their distance in Å.
Positions (direct):
Be 0.3882 0.3882 0.3882  6 Pb 2.67-2.75
Pb 0.2179 0.2179 0.2179  3 Be 2.75
Pb 0.0000 0.0000 0.0000  6 Be 2.67
Be 0.6118 0.6118 0.6118  6 Pb 2.67-2.75
Pb 0.7821 0.7821 0.7821  3 Be 2.75

Total moment: 0.00 μB/f.u.
Space-group type: R-3m

This record from the Alexandria database describes a relaxed structure of Be5Pb3. The functional is PBE.

Lattice parameters (Å, degrees): 6.5490 6.5490 4.0586 90.00 90.00 121.05
Last column: nearest neighbours and their distance in Å.
Positions (direct):
Be 0.1608 0.1608 0.5000  3 Be 2.07-2.28
Be 0.5000 0.0000 0.0000  4 Pb 2.61
Pb 0.5000 0.5000 0.0000  10 Be 2.98-3.27
Be 0.0000 0.5000 0.0000  4 Pb 2.61
Be 0.8392 0.8392 0.5000  3 Be 2.07-2.28
Pb 0.7762 0.2238 0.5000  6 Be 2.61-2.75
Be 0.0000 0.0000 0.0000  4 Be 2.28
Pb 0.2238 0.7762 0.5000  6 Be 2.61-2.75

Total moment: 0.00 μB/f.u.
Space-group type: Cmmm
Relative energy among the computed polymorphs: 368 meV/atom

This record from the Alexandria database describes a relaxed structure of Be5Pb. The functional is PBE.

Lattice parameters (Å, degrees): 5.8188 5.8188 3.6603 90.00 90.00 143.15
Last column: nearest neighbours and their distance in Å.
Positions (direct):
Be 0.6963 0.3037 0.5000  4 Be 2.19-2.20
Be 0.1926 0.8074 0.0000  4 Be 2.20-2.23
Be 0.8074 0.1926 0.0000  4 Be 2.20-2.23
Pb 0.5000 0.5000 0.0000  12 Be 2.59-2.84
Be 0.0000 0.0000 0.5000  4 Pb 2.59, 8 Be 2.81-2.84
Be 0.3037 0.6963 0.5000  4 Be 2.19-2.20

Total moment: 0.00 μB/f.u.
Space-group type: Cmmm
Relative energy among the computed polymorphs: 271 meV/atom

This record from the Alexandria database describes a relaxed structure of Be3Pb. The functional is PBE.

Lattice parameters (Å, degrees): 3.6265 4.6402 7.1966 90.00 90.00 90.00
Last column: nearest neighbours and their distance in Å.
Positions (direct):
Be 0.5000 0.7349 0.9150  6 Be 2.17-2.19
Pb 0.0000 0.0000 0.6581  6 Be 2.65-2.87
Be 0.0000 0.2349 0.0850  6 Be 2.17-2.19
Be 0.0000 0.7651 0.0850  6 Be 2.17-2.19
Pb 0.5000 0.5000 0.3419  6 Be 2.65-2.87
Be 0.5000 0.2651 0.9150  6 Be 2.17-2.19
Be 0.0000 0.5000 0.8371  6 Be 2.17-2.19
Be 0.5000 0.0000 0.1629  6 Be 2.17-2.19

Total moment: 0.00 μB/f.u.
Space-group type: Pmmn
Relative energy among the computed polymorphs: 32 meV/atom

This record from the Alexandria database describes a relaxed structure of Be3Pb. The functional is PBE.

Lattice parameters (Å, degrees): 3.9033 3.9033 4.7180 90.00 90.00 120.00
Last column: nearest neighbours and their distance in Å.
Positions (direct):
Be 0.6667 0.3333 0.2500  2 Pb 2.36, 6 Be 2.49
Pb 0.6667 0.3333 0.7500  8 Be 2.36-2.60
Be 0.0000 0.0000 0.4742  1 Be 2.12
Be 0.0000 0.0000 0.0258  1 Be 2.12

Total moment: 0.00 μB/f.u.
Space-group type: P-6m2
Relative energy among the computed polymorphs: 291 meV/atom

This record from the Alexandria database describes a relaxed structure of Be4Pb3. The functional is PBE.

Lattice parameters (Å, degrees): 11.8687 11.8687 11.8687 163.28 163.28 23.74
Last column: nearest neighbours and their distance in Å.
Positions (direct):
Be 0.4434 0.4434 0.0000  5 Be 2.63-2.69, 5 Pb 2.71-2.77
Be 0.8943 0.8943 0.0000  1 Pb 2.46, 4 Be 2.69
Pb 0.3269 0.3269 0.0000  5 Be 2.71-2.90
Pb 0.6731 0.6731 0.0000  5 Be 2.71-2.90
Pb 0.0000 0.0000 0.0000  2 Be 2.46
Be 0.5566 0.5566 0.0000  5 Be 2.63-2.69, 5 Pb 2.71-2.77
Be 0.1057 0.1057 0.0000  1 Pb 2.46, 4 Be 2.69

Total moment: 0.00 μB/f.u.
Space-group type: I4/mmm

This record from the Alexandria database describes a relaxed structure of Be3Pb. The functional is PBE.

Lattice parameters (Å, degrees): 6.3528 6.3528 3.4803 90.00 90.00 116.54
Last column: nearest neighbours and their distance in Å.
Positions (direct):
Be 0.2216 0.1060 0.2500  6 Be 2.14-2.19
Be 0.7784 0.8940 0.7500  6 Be 2.14-2.19
Be 0.1060 0.2216 0.7500  6 Be 2.14-2.19
Pb 0.3349 0.6651 0.2500  8 Be 2.94-3.19
Be 0.8940 0.7784 0.2500  6 Be 2.14-2.19
Be 0.8840 0.1160 0.2500  6 Be 2.15-2.17
Pb 0.6651 0.3349 0.7500  8 Be 2.94-3.19
Be 0.1160 0.8840 0.7500  6 Be 2.15-2.17

Total moment: 0.00 μB/f.u.
Space-group type: Cmcm
Relative energy among the computed polymorphs: 176 meV/atom

This record from the Alexandria database describes a relaxed structure of Be3Pb. The functional is PBE.

Lattice parameters (Å, degrees): 4.1171 4.1171 3.6682 90.00 90.00 110.09
Last column: nearest neighbours and their distance in Å.
Positions (direct):
Be 0.0000 0.5000 0.5000  2 Be 2.36
Be 0.5000 0.0000 0.5000  2 Be 2.36
Pb 0.0000 0.0000 0.0000  2 Be 2.36
Be 0.5000 0.5000 0.0000  2 Pb 2.36

Total moment: 0.00 μB/f.u.
Space-group type: Cmmm
Relative energy among the computed polymorphs: 453 meV/atom

This record from the Alexandria database describes a relaxed structure of Be7Pb6. The functional is PBE.

Lattice parameters (Å, degrees): 16.5144 16.5144 16.5144 15.04 15.04 15.04
Last column: nearest neighbours and their distance in Å.
Positions (direct):
Pb 0.0681 0.0681 0.0681  6 Be 2.75
Pb 0.9319 0.9319 0.9319  6 Be 2.75
Pb 0.1419 0.1419 0.1419  9 Be 2.78-2.89
Be 0.3972 0.3972 0.8970  4 Be 2.16
Be 0.3972 0.8970 0.3972  4 Be 2.16
Pb 0.3566 0.3566 0.3566  6 Pb 3.33-3.38
Pb 0.8581 0.8581 0.8581  9 Be 2.78-2.89
Be 0.1030 0.6028 0.6028  4 Be 2.16
Be 0.8970 0.3972 0.3972  4 Be 2.16
Pb 0.6434 0.6434 0.6434  6 Pb 3.33-3.38
Be 0.5000 0.5000 0.5000  6 Pb 2.78
Be 0.6028 0.6028 0.1030  4 Be 2.16
Be 0.6028 0.1030 0.6028  4 Be 2.16

Total moment: 0.00 μB/f.u.
Space-group type: R-3m

no.,calculated formation energy (eV per atom),Fermi-level density of states (states/eV/cell)
1,0.643,1.64
2,1.805,2.57
3,0.330,1.81
4,0.699,8.78
5,0.537,1.96
6,0.792,2.43
7,0.620,2.35
8,0.362,2.55
9,0.620,0.75
10,0.664,2.39
11,0.505,1.60
12,0.782,0.50
13,0.434,4.33